Entry 1:
# PaTlHg

PaTlHg after structural relaxation (GGA-PBE, OQMD via LeMat-Bulk).

## Properties
calculated density = 12.082 g/cm³
energy above the lowest structure with this stoichiometry = 0.0 meV/atom
total magnetic moment = 0.49 μB per atom

Cell: 4.982 4.982 4.982 Å, 60.00 60.00 60.00°
Atoms (fractional coordinates):
Pa1 0.000 0.000 0.000
Tl1 0.500 0.500 0.500
Hg1 0.250 0.250 0.250

Entry 2:
# ReAgPO

ReAgPO after structural relaxation (GGA-PBE, OQMD via LeMat-Bulk).

## Properties
calculated density = 8.528 g/cm³
energy above the lowest structure with this stoichiometry = 217.8 meV/atom
total magnetic moment = 0.00 μB per atom

Cell: 3.805 5.994 5.823 Å, 90.00 90.00 90.00°
Atoms (fractional coordinates):
Re1 0.000 0.231 0.000
Re2 0.000 0.769 0.500
Ag1 0.500 0.341 0.549
Ag2 0.500 0.659 0.049
P1 0.000 0.137 0.382
P2 0.000 0.863 0.882
O1 0.500 0.249 0.985
O2 0.500 0.751 0.485

Entry 3:
# TaHgAsO

TaHgAsO after structural relaxation (GGA-PBE, OQMD via LeMat-Bulk).

## Properties
calculated density = 8.589 g/cm³
energy above the lowest structure with this stoichiometry = 50.2 meV/atom
total magnetic moment = 0.00 μB per atom

Cell: 3.593 7.030 7.233 Å, 90.00 90.00 90.00°
Atoms (fractional coordinates):
Ta1 0.000 0.092 0.000
Ta2 0.000 0.908 0.500
Hg1 0.500 0.275 0.542
Hg2 0.500 0.725 0.042
As1 0.500 0.335 0.965
As2 0.500 0.665 0.465
O1 0.000 0.024 0.258
O2 0.000 0.976 0.758

Entry 4:
# Li2NbAg

Li2NbAg after structural relaxation (GGA-PBE, OQMD via LeMat-Bulk).

## Properties
calculated density = 5.634 g/cm³
E = -3.80 eV per atom
total magnetic moment = 0.00 μB per atom

Cell: 4.473 4.473 4.473 Å, 60.00 60.00 60.00°
Atoms (fractional coordinates):
Li1 0.000 0.000 0.000
Li2 0.250 0.250 0.250
Nb1 0.500 0.500 0.500
Ag1 0.750 0.750 0.750

Entry 5:
# HgGeAs

HgGeAs after structural relaxation (GGA-PBE, OQMD via LeMat-Bulk).

## Properties
calculated density = 7.761 g/cm³
energy above the lowest structure with this stoichiometry = 0.0 meV/atom

Cell: 4.723 4.723 4.723 Å, 60.00 60.00 60.00°
Atoms (fractional coordinates):
Hg1 0.000 0.000 0.000
Ge1 0.500 0.500 0.500
As1 0.750 0.750 0.750

Entry 6:
# Ho2Ag2TeSe3

Ho2Ag2TeSe3 after structural relaxation (GGA-PBE, OQMD via LeMat-Bulk).

## Properties
calculated density = 7.373 g/cm³
E = -4.69 eV per atom
total magnetic moment = 0.00 μB per atom

Cell: 6.844 6.844 4.381 Å, 90.65 90.65 87.60°
Atoms (fractional coordinates):
Ho1 0.000 0.000 0.000
Ho2 0.524 0.524 0.401
Ag1 0.016 0.515 0.180
Ag2 0.515 0.016 0.180
Te1 0.219 0.219 0.504
Se1 0.313 0.715 0.919
Se2 0.715 0.313 0.919
Se3 0.811 0.811 0.479

Entry 7:
# Hf2Sb2O5

Hf2Sb2O5 after structural relaxation (GGA-PBE, OQMD via LeMat-Bulk).

## Properties
calculated density = 9.673 g/cm³
energy above the lowest structure with this stoichiometry = 739.8 meV/atom
total magnetic moment = 0.09 μB per atom

Cell: 3.504 3.504 9.515 Å, 90.00 90.00 90.00°
Atoms (fractional coordinates):
Hf1 0.000 0.000 0.000
Hf2 0.000 0.000 0.500
Sb1 0.500 0.500 0.218
Sb2 0.500 0.500 0.782
O1 0.000 0.500 0.330
O2 0.000 0.500 0.670
O3 0.500 0.000 0.330
O4 0.500 0.000 0.670
O5 0.500 0.500 0.500

Entry 8:
# Cu4TeSe

Cu4TeSe after structural relaxation (GGA-PBE, OQMD via LeMat-Bulk).

## Properties
calculated density = 7.172 g/cm³
E = -3.56 eV per atom

Cell: 14.395 14.395 14.395 Å, 16.64 16.64 16.64°
Atoms (fractional coordinates):
Cu1 0.042 0.042 0.042
Cu2 0.149 0.149 0.149
Cu3 0.271 0.271 0.271
Cu4 0.423 0.423 0.423
Cu5 0.577 0.577 0.577
Cu6 0.729 0.729 0.729
Cu7 0.851 0.851 0.851
Cu8 0.958 0.958 0.958
Te1 0.211 0.211 0.211
Te2 0.789 0.789 0.789
Se1 0.365 0.365 0.365
Se2 0.635 0.635 0.635

Q: calculated density of number 2 (ReAgPO)?
A: 8.528 g/cm³

What did the second record say?
# ReAgPO

ReAgPO after structural relaxation (GGA-PBE, OQMD via LeMat-Bulk).

## Properties
calculated density = 8.528 g/cm³
energy above the lowest structure with this stoichiometry = 217.8 meV/atom
total magnetic moment = 0.00 μB per atom

Cell: 3.805 5.994 5.823 Å, 90.00 90.00 90.00°
Atoms (fractional coordinates):
Re1 0.000 0.231 0.000
Re2 0.000 0.769 0.500
Ag1 0.500 0.341 0.549
Ag2 0.500 0.659 0.049
P1 0.000 0.137 0.382
P2 0.000 0.863 0.882
O1 0.500 0.249 0.985
O2 0.500 0.751 0.485

Q: calculated density of number 5 (HgGeAs)?
A: 7.761 g/cm³

Q: Among the records above, which one has the highest calculated density?
A: PaTlHg